LaNd4 | PBE | relaxed

Cell lengths 3.698, 5.232, 18.464 Å; angles 90.00, 90.00, 90.00 degrees
Space group Immm (No. 71)
Unique sites:
La  0.000  0.000  0.000 (multiplicity 2)
Nd  0.000  0.000  0.200 (multiplicity 4)
Nd  0.000  0.000  0.399 (multiplicity 4)

Output
theoretical density: 6.66 g/cm3
formation energy: 14 meV/atom
E_tot: -23.93 eV per formula unit
size of the total moment: 0.00 μB/f.u.

=====

La3Nd2 | PBE | relaxed

Cell lengths 3.7164, 3.7164, 45.4450 Å; angles 90.00, 90.00, 120.00 degrees
Space group R-3m (No. 166, hexagonal axes)
Unique sites:
La  0.0000  0.0000  0.0000 (multiplicity 3)
La  0.0000  0.0000  0.4007 (multiplicity 6)
Nd  0.0000  0.0000  0.1993 (multiplicity 6)

Output
theoretical density: 6.46 g/cm3
formation energy: 11 meV/atom
E_tot: -24.26 eV per formula unit
size of the total moment: 0.00 μB/f.u.

=====

Question: formation energy of number 1 (LaNd4)?
Answer: 14 meV/atom

=====

Question: formation energy of number 1 (LaNd4)?
Answer: 14 meV/atom